No. 1
First-principles (PBE) data for a geometry-optimized TbPmPuGa structure, as listed in Alexandria via LeMat-Bulk.

Lattice parameters (Å, degrees): 7.5308 7.5308 7.5308 90.00 90.00 90.00
Fractional positions:
1 Tb 0.0000 0.0000 0.0000
2 Tb 0.0000 0.5000 0.5000
3 Tb 0.5000 0.0000 0.5000
4 Tb 0.5000 0.5000 0.0000
5 Pm 0.2500 0.2500 0.7500
6 Pm 0.2500 0.7500 0.2500
7 Pm 0.7500 0.2500 0.2500
8 Pm 0.7500 0.7500 0.7500
9 Pu 0.0000 0.0000 0.5000
10 Pu 0.0000 0.5000 0.0000
11 Pu 0.5000 0.0000 0.0000
12 Pu 0.5000 0.5000 0.5000
13 Ga 0.2500 0.2500 0.2500
14 Ga 0.2500 0.7500 0.7500
15 Ga 0.7500 0.2500 0.7500
16 Ga 0.7500 0.7500 0.2500

Summary:
Final energy   -106.3 eV for the cell shown
Formation energy   39 meV per atom
Space-group type   F-43m, No. 216

---

No. 2
First-principles (PBE) data for a geometry-optimized NdPu3 structure, as listed in Alexandria via LeMat-Bulk.

Lattice parameters (Å, degrees): 6.4683 4.9918 6.7176 90.00 106.10 90.00
Fractional positions:
1 Nd 0.0000 0.0000 0.0000
2 Nd 0.3546 0.5000 0.8873
3 Pu 0.1053 0.0000 0.5316
4 Pu 0.2978 0.5000 0.3696
5 Pu 0.5182 0.0000 0.6314
6 Pu 0.5701 0.0000 0.2761
7 Pu 0.7919 0.5000 0.6370
8 Pu 0.8332 0.5000 0.2767

Summary:
Final energy   -94.0 eV for the cell shown
Polymorph energy (0 for the lowest one)   0 meV/atom
Formation energy   188 meV per atom
Space-group type   Pm, No. 6

---

No. 3
First-principles (PBE) data for a geometry-optimized BiPb3Au8 structure, as listed in Alexandria via LeMat-Bulk.

Lattice parameters (Å, degrees): 5.7871 5.7871 9.2202 90.00 90.00 120.00
Fractional positions:
1 Bi 0.0000 0.0000 0.0000
2 Pb 0.0000 0.0000 0.3916
3 Pb 0.6667 0.3333 0.5071
4 Pb 0.6667 0.3333 0.9010
5 Au 0.1637 0.3273 0.7015
6 Au 0.1637 0.8363 0.7015
7 Au 0.3333 0.6667 0.4532
8 Au 0.3333 0.6667 0.9521
9 Au 0.5029 0.0057 0.2024
10 Au 0.5029 0.4971 0.2024
11 Au 0.6727 0.8363 0.7015
12 Au 0.9943 0.4971 0.2024

Summary:
Final energy   -41.9 eV for the cell shown
Polymorph energy (0 for the lowest one)   13 meV/atom
Formation energy   -60 meV per atom
Space-group type   P3m1, No. 156

---

No. 4
First-principles (PBE) data for a geometry-optimized Nb2VFeH structure, as listed in Alexandria via LeMat-Bulk.

Lattice parameters (Å, degrees): 4.3631 4.3631 3.3442 90.00 90.00 90.00
Fractional positions:
1 Nb 0.0000 0.5000 0.0000
2 Nb 0.5000 0.0000 0.0000
3 V 0.0000 0.0000 0.5000
4 Fe 0.5000 0.5000 0.5000
5 H 0.0000 0.0000 0.0000

Summary:
Final energy   -41.1 eV for the cell shown
Polymorph energy (0 for the lowest one)   34 meV/atom
Space-group type   P4/mmm, No. 123

---

No. 5
First-principles (PBE) data for a geometry-optimized TbHoCuGe structure, as listed in Alexandria via LeMat-Bulk.

Lattice parameters (Å, degrees): 7.0260 7.0260 7.0260 90.00 90.00 90.00
Fractional positions:
1 Tb 0.0000 0.0000 0.0000
2 Tb 0.0000 0.5000 0.5000
3 Tb 0.5000 0.0000 0.5000
4 Tb 0.5000 0.5000 0.0000
5 Ho 0.0000 0.0000 0.5000
6 Ho 0.0000 0.5000 0.0000
7 Ho 0.5000 0.0000 0.0000
8 Ho 0.5000 0.5000 0.5000
9 Cu 0.2500 0.2500 0.2500
10 Cu 0.2500 0.7500 0.7500
11 Cu 0.7500 0.2500 0.7500
12 Cu 0.7500 0.7500 0.2500
13 Ge 0.2500 0.2500 0.7500
14 Ge 0.2500 0.7500 0.2500
15 Ge 0.7500 0.2500 0.2500
16 Ge 0.7500 0.7500 0.7500

Summary:
Final energy   -79.7 eV for the cell shown
Formation energy   -499 meV per atom
Space-group type   F-43m, No. 216

---

No. 6
First-principles (PBE) data for a geometry-optimized Pm2ZnGa3Au4 structure, as listed in Alexandria via LeMat-Bulk.

Lattice parameters (Å, degrees): 4.4168 4.4168 10.5478 90.00 90.00 90.00
Fractional positions:
1 Pm 0.0000 0.5000 0.2490
2 Pm 0.5000 0.0000 0.7510
3 Zn 0.5000 0.5000 0.0000
4 Ga 0.0000 0.0000 0.0000
5 Ga 0.0000 0.5000 0.6329
6 Ga 0.5000 0.0000 0.3671
7 Au 0.0000 0.0000 0.5000
8 Au 0.0000 0.5000 0.8686
9 Au 0.5000 0.0000 0.1314
10 Au 0.5000 0.5000 0.5000

Summary:
Final energy   -39.1 eV for the cell shown
Formation energy   -617 meV per atom
Space-group type   P-4m2, No. 115